Run i
Below is an optimized crystal structure of AlP2WO, with properties calculated at the PBE+U level.

Fermi-level density of states (states/eV per atom): 0.9113

```
AlP2WO
1.0
-0.848 3.186 3.672
-3.991 -2.585 1.321
1.908 -1.885 2.076
O P Al W
1 2 1 1
Direct
0.000 0.000 0.500 O
0.000 0.500 0.000 P
0.500 0.000 0.000 P
0.000 0.000 0.000 Al
0.500 0.500 0.500 W
```

Run ii
Below is an optimized crystal structure of AlP2WO, with properties calculated at the PBE+U level.

Fermi-level density of states (states/eV per atom): 0.3961

```
AlP2WO
1.0
4.853 0.000 0.000
0.000 4.853 0.000
0.000 0.000 3.813
O P Al W
1 2 1 1
Direct
0.000 0.000 0.500 O
0.000 0.500 0.000 P
0.500 0.000 0.000 P
0.500 0.500 0.500 Al
0.000 0.000 0.000 W
```

Consider the structures shown above. The least stable of them is run i.